(1)
## Ir5C (PBE)

Data for crystalline Ir5C at its relaxed geometry.

Calculated values
Formation energy from the elements (eV/atom): 0.5581
Total magnetic moment (μB per formula unit): 0.0
Crystal system: tetragonal
VASP energy (eV for the cell shown): -50.2

a = 2.730 Å, b = 2.730 Å, c = 10.561 Å
α = 90.00°, β = 90.00°, γ = 90.00°
Space group P4/mmm (No. 123)
Symmetry-distinct sites (fractional):
1 Ir 0.000 0.000 0.000 x1
2 Ir 0.000 0.000 0.374 x2
3 Ir 0.500 0.500 0.182 x2
4 C 0.500 0.500 0.500 x1

(2)
## HfCrW (PBE)

Data for crystalline HfCrW at its relaxed geometry.

Calculated values
Formation energy from the elements (eV/atom): 0.2230
Total magnetic moment (μB per formula unit): 0.0
Crystal system: orthorhombic
VASP energy (eV for the cell shown): -254.9

a = 5.143 Å, b = 8.594 Å, c = 9.018 Å
α = 90.00°, β = 90.00°, γ = 90.00°
Space group Fmmm (No. 69)
Symmetry-distinct sites (fractional):
1 Hf 0.000 0.168 0.000 x8
2 Cr 0.250 0.250 0.250 x8
3 W 0.000 0.000 0.338 x8

(3)
## YSbTe2N (PBE)

Data for crystalline YSbTe2N at its relaxed geometry.

Calculated values
Total magnetic moment (μB per formula unit): 0.0
Crystal system: tetragonal
E_form (uncorrected) (meV/atom): 213
VASP energy (eV for the cell shown): -24.1

a = 5.786 Å, b = 5.786 Å, c = 4.037 Å
α = 90.00°, β = 90.00°, γ = 90.00°
Space group P4/mmm (No. 123)
Symmetry-distinct sites (fractional):
1 Y 0.000 0.000 0.000 x1
2 Sb 0.500 0.500 0.500 x1
3 Te 0.000 0.500 0.500 x2
4 N 0.500 0.500 0.000 x1